1.
Material: KCuTc
Method: DFT, GGA-PBE
State: relaxed

Results
- DOS(E_F): 4.706 states/eV/f.u.
- Offset from the most stable computed form: 106 meV per atom
- E: -0.3115 Ry per atom
- ΔH_f (0 K): 0.948 eV/atom

abc: 7.953 7.955 2.688
angles: 80.24 80.31 19.45
Positions (direct):
Cu (0.022, 0.022, 0.978)
K (0.334, 0.334, 0.666)
Tc (0.644, 0.644, 0.356)

=====

2.
Material: Si2AuC
Method: DFT, GGA-PBE
State: relaxed

Results
- DOS(E_F): 1.129 states/eV/f.u.
- Raw formation energy: 0.298 eV/atom
- E: -0.4071 Ry per atom

abc: 5.566 3.122 9.484
angles: 90.00 115.90 90.00
Positions (direct):
Si (0.446, 0.000, 0.151)
Si (0.446, 0.500, 0.651)
Si (0.643, 0.000, 0.975)
Si (0.643, 0.500, 0.475)
Au (0.016, 0.000, 0.589)
Au (0.016, 0.500, 0.089)
C (0.478, 0.000, 0.759)
C (0.478, 0.500, 0.259)